The following is a PBE-GGA calculation of crystalline Cs2TePtI at its relaxed geometry, from Alexandria via LeMat-Bulk.

Structure (POSCAR):
```
Cs2TePtI
1.0
-6.754 -1.560 -2.536
1.893 -1.009 -4.420
0.882 -7.053 1.988
Cs I Te Pt
2 1 1 1
Direct
0.000 0.000 0.500
0.500 0.000 0.000
0.500 0.500 0.500
0.000 0.000 0.000
0.000 0.500 0.000
```

Output
Total DFT energy (no corrections) = -15.95 eV/cell
Space-group type = P4/mmm, No. 123
Crystal system = tetragonal



The following is a PBE-GGA calculation of crystalline CsTePtI2 at its relaxed geometry, from Alexandria via LeMat-Bulk.

Structure (POSCAR):
```
CsTePtI2
1.0
-5.379 -0.967 2.110
-0.312 -4.976 -3.075
2.080 -2.655 4.086
Cs I Te Pt
1 2 1 1
Direct
0.500 0.500 0.500
0.000 0.500 0.000
0.500 0.000 0.000
0.000 0.000 0.500
0.000 0.000 0.000
```

Output
Total DFT energy (no corrections) = -15.45 eV/cell
Space-group type = P4/mmm, No. 123
Crystal system = tetragonal



The following is a PBE-GGA calculation of crystalline CsTl2PtI at its relaxed geometry, from Alexandria via LeMat-Bulk.

Structure (POSCAR):
```
CsTl2PtI
1.0
5.377 0.000 0.000
0.000 5.377 0.000
0.000 0.000 6.853
Cs I Tl Pt
1 1 2 1
Direct
0.000 0.000 0.500
0.500 0.500 0.500
0.000 0.500 0.000
0.500 0.000 0.000
0.000 0.000 0.000
```

Output
Total DFT energy (no corrections) = -15.62 eV/cell
Space-group type = P4/mmm, No. 123
Crystal system = tetragonal



| no. | ΔE_f (raw) (meV per atom) |
| --- | --- |
| 1 | -701 |
| 2 | -463 |
| 3 | -488 |